No. 1
Density functional theory data (PBE) for an optimized crystal structure of Pm2AsC.

```
Pm2AsC
1.0
3.871 0.000 0.000
-1.935 3.352 0.000
0.000 0.000 20.628
Pm As C
6 3 3
direct
0.000 0.000 0.237
0.000 0.000 0.763
0.333 0.667 0.430
0.333 0.667 0.904
0.667 0.333 0.096
0.667 0.333 0.570
0.000 0.000 0.000
0.333 0.667 0.667
0.667 0.333 0.333
0.000 0.000 0.500
0.333 0.667 0.167
0.667 0.333 0.833
```

Properties
Formation energy from the elements   -0.585 eV per atom
Uncorrected energy   -6.43 eV per atom
N(E_F)   2.41 states/eV/f.u.
Symmetry   R-3m, No. 166

=====

No. 2
Density functional theory data (PBE) for an optimized crystal structure of Pm4AsC.

```
Pm4AsC
1.0
7.072 -3.197 0.000
7.072 3.197 0.000
-2.143 0.000 6.906
Pm As C
8 2 2
direct
0.028 0.166 0.462
0.166 0.028 0.962
0.271 0.388 0.827
0.388 0.271 0.327
0.612 0.729 0.673
0.729 0.612 0.173
0.834 0.972 0.038
0.972 0.834 0.538
0.330 0.670 0.250
0.670 0.330 0.750
0.000 0.500 0.500
0.500 0.000 0.000
```

Properties
Formation energy from the elements   -0.403 eV per atom
Uncorrected energy   -5.88 eV per atom
N(E_F)   4.55 states/eV/f.u.
Symmetry   C2/c, No. 15

=====

No. 3
Density functional theory data (PBE) for an optimized crystal structure of Pm5As2C.

```
Pm5As2C
1.0
2.871 -6.387 0.000
2.871 6.387 0.000
0.000 0.000 12.906
Pm As C
10 4 2
direct
0.055 0.945 0.621
0.055 0.945 0.879
0.310 0.690 0.250
0.332 0.668 0.601
0.332 0.668 0.899
0.668 0.332 0.101
0.668 0.332 0.399
0.690 0.310 0.750
0.945 0.055 0.121
0.945 0.055 0.379
0.173 0.827 0.073
0.173 0.827 0.427
0.827 0.173 0.573
0.827 0.173 0.927
0.198 0.802 0.750
0.802 0.198 0.250
```

Properties
Formation energy from the elements   -0.588 eV per atom
Uncorrected energy   -5.87 eV per atom
N(E_F)   5.82 states/eV/f.u.
Symmetry   Cmcm, No. 63

=====

No. 4
Density functional theory data (PBE) for an optimized crystal structure of Pm4AsC2.

```
Pm4AsC2
1.0
-4.341 4.341 4.394
4.341 -4.341 4.394
4.341 4.341 -4.394
Pm As C
8 2 4
direct
0.224 0.289 0.566
0.224 0.658 0.934
0.289 0.224 0.066
0.342 0.776 0.566
0.658 0.224 0.434
0.711 0.776 0.934
0.776 0.342 0.066
0.776 0.711 0.434
0.125 0.875 0.250
0.875 0.125 0.750
0.000 0.500 0.500
0.500 0.000 0.000
0.500 0.500 0.000
0.500 0.500 0.500
```

Properties
Formation energy from the elements   -0.424 eV per atom
Uncorrected energy   -6.44 eV per atom
N(E_F)   2.20 states/eV/f.u.
Symmetry   I4_1/amd, No. 141

=====

No. 5
Density functional theory data (PBE) for an optimized crystal structure of Pm5As2C2.

```
Pm5As2C2
1.0
-8.749 3.799 3.388
8.749 -3.799 3.388
8.749 3.799 -3.388
Pm As C
10 4 4
direct
0.198 0.422 0.060
0.198 0.638 0.276
0.242 0.026 0.268
0.242 0.474 0.715
0.361 0.138 0.940
0.361 0.922 0.724
0.696 0.565 0.631
0.758 0.526 0.285
0.758 0.974 0.732
0.934 0.065 0.369
0.678 0.123 0.350
0.678 0.828 0.055
0.773 0.328 0.650
0.773 0.623 0.945
0.082 0.922 0.660
0.245 0.245 0.000
0.245 0.745 0.500
0.262 0.422 0.340
```

Properties
Formation energy from the elements   -0.615 eV per atom
Uncorrected energy   -6.34 eV per atom
N(E_F)   5.45 states/eV/f.u.
Symmetry   Ima2, No. 46

=====

No. 6
Density functional theory data (PBE) for an optimized crystal structure of Pm4AsCS2.

```
Pm4AsCS2
1.0
7.004 0.000 0.000
0.000 3.999 0.000
-2.298 0.000 6.636
Pm As C S
4 1 1 2
direct
0.225 0.000 0.224
0.236 0.500 0.768
0.764 0.500 0.232
0.775 0.000 0.776
0.000 0.000 0.500
0.000 0.500 0.000
0.500 0.000 0.000
0.500 0.500 0.500
```

Properties
Uncorrected energy   -6.59 eV per atom
N(E_F)   1.49 states/eV/f.u.
Symmetry   P2/m, No. 10

=====

No. 7
Density functional theory data (PBE) for an optimized crystal structure of Pm6AsC2S3.

```
Pm6AsC2S3
1.0
8.722 -1.975 0.000
8.722 1.975 0.000
-1.953 0.000 7.855
Pm As C S
6 1 2 3
direct
0.014 0.014 0.261
0.324 0.324 0.434
0.329 0.329 0.885
0.671 0.671 0.115
0.676 0.676 0.566
0.986 0.986 0.739
0.500 0.500 0.000
0.170 0.170 0.337
0.830 0.830 0.663
0.163 0.163 0.832
0.500 0.500 0.500
0.837 0.837 0.168
```

Properties
Uncorrected energy   -6.68 eV per atom
N(E_F)   2.31 states/eV/f.u.
Symmetry   C2/m, No. 12

=====

No. 8
Density functional theory data (PBE) for an optimized crystal structure of Pm6As2CSe3.

```
Pm6As2CSe3
1.0
9.102 -2.051 0.000
9.102 2.051 0.000
-2.032 0.000 8.153
Pm As C Se
6 2 1 3
direct
0.000 0.000 0.214
0.000 0.000 0.786
0.333 0.333 0.421
0.352 0.352 0.922
0.648 0.648 0.078
0.667 0.667 0.579
0.166 0.166 0.332
0.834 0.834 0.668
0.500 0.500 0.000
0.170 0.170 0.836
0.500 0.500 0.500
0.830 0.830 0.164
```

Properties
Uncorrected energy   -6.29 eV per atom
N(E_F)   3.99 states/eV/f.u.
Symmetry   C2/m, No. 12

=====

No. 9
Density functional theory data (PBE) for an optimized crystal structure of Pm8As3CSe4.

```
Pm8As3CSe4
1.0
4.156 2.400 6.871
-4.156 2.400 6.871
0.000 -4.799 6.871
Pm As C Se
8 3 1 4
direct
0.247 0.247 0.247
0.265 0.730 0.730
0.270 0.270 0.735
0.270 0.735 0.270
0.730 0.265 0.730
0.730 0.730 0.265
0.735 0.270 0.270
0.753 0.753 0.753
0.000 0.000 0.500
0.000 0.500 0.000
0.500 0.000 0.000
0.500 0.500 0.500
0.000 0.000 0.000
0.000 0.500 0.500
0.500 0.000 0.500
0.500 0.500 0.000
```

Properties
Uncorrected energy   -6.25 eV per atom
N(E_F)   4.19 states/eV/f.u.
Symmetry   R-3m, No. 166

=====

No. 10
Density functional theory data (PBE) for an optimized crystal structure of Pm8Te4As3C.

```
Pm8Te4As3C
1.0
4.243 2.450 7.230
-4.243 2.450 7.230
0.000 -4.899 7.230
Pm Te As C
8 4 3 1
direct
0.241 0.241 0.241
0.261 0.724 0.724
0.276 0.276 0.739
0.276 0.739 0.276
0.724 0.261 0.724
0.724 0.724 0.261
0.739 0.276 0.276
0.759 0.759 0.759
0.000 0.000 0.000
0.000 0.500 0.500
0.500 0.000 0.500
0.500 0.500 0.000
0.000 0.000 0.500
0.000 0.500 0.000
0.500 0.000 0.000
0.500 0.500 0.500
```

Properties
Uncorrected energy   -5.95 eV per atom
N(E_F)   5.11 states/eV/f.u.
Symmetry   R-3m, No. 166

=====

No. 11
Density functional theory data (PBE) for an optimized crystal structure of Pr6As2C.

```
Pr6As2C
1.0
6.503 0.000 0.000
0.000 7.935 0.000
-6.209 0.000 9.789
Pr As C
12 4 2
direct
0.116 0.169 0.451
0.116 0.331 0.951
0.308 0.704 0.448
0.308 0.796 0.948
0.379 0.030 0.250
0.379 0.470 0.750
0.621 0.530 0.250
0.621 0.970 0.750
0.692 0.204 0.052
0.692 0.296 0.552
0.884 0.669 0.049
0.884 0.831 0.549
0.183 0.115 0.752
0.183 0.385 0.252
0.817 0.615 0.748
0.817 0.885 0.248
0.500 0.000 0.500
0.500 0.500 0.000
```

Properties
Formation energy from the elements   -0.651 eV per atom
Uncorrected energy   -5.89 eV per atom
N(E_F)   10.74 states/eV/f.u.
Symmetry   P2_1/c, No. 14

=====

No. 12
Density functional theory data (PBE) for an optimized crystal structure of Pr8Te4As3C.

```
Pr8Te4As3C
1.0
4.310 2.488 7.345
-4.310 2.488 7.345
0.000 -4.977 7.345
Pr Te As C
8 4 3 1
direct
0.241 0.241 0.241
0.260 0.725 0.725
0.275 0.275 0.740
0.275 0.740 0.275
0.725 0.260 0.725
0.725 0.725 0.260
0.740 0.275 0.275
0.759 0.759 0.759
0.000 0.000 0.000
0.000 0.500 0.500
0.500 0.000 0.500
0.500 0.500 0.000
0.000 0.000 0.500
0.000 0.500 0.000
0.500 0.000 0.000
0.500 0.500 0.500
```

Properties
Uncorrected energy   -5.95 eV per atom
N(E_F)   5.16 states/eV/f.u.
Symmetry   R-3m, No. 166

=====

No. 13
Density functional theory data (PBE) for an optimized crystal structure of AsPt3C.

```
AsPt3C
1.0
4.231 0.000 0.000
0.000 4.231 0.000
0.000 0.000 4.231
As Pt C
1 3 1
direct
0.000 0.000 0.000
0.000 0.500 0.500
0.500 0.000 0.500
0.500 0.500 0.000
0.500 0.500 0.500
```

Properties
Formation energy from the elements   0.465 eV per atom
Uncorrected energy   -5.93 eV per atom
N(E_F)   2.24 states/eV/f.u.
Symmetry   Pm-3m, No. 221

=====

No. 14
Density functional theory data (PBE) for an optimized crystal structure of AsPt3C.

```
AsPt3C
1.0
4.642 0.000 0.000
0.000 4.642 0.000
0.000 0.000 4.642
As Pt C
1 3 1
direct
0.000 0.000 0.000
0.000 0.000 0.500
0.000 0.500 0.000
0.500 0.000 0.000
0.500 0.500 0.500
```

Properties
Formation energy from the elements   1.828 eV per atom
Uncorrected energy   -4.57 eV per atom
N(E_F)   2.74 states/eV/f.u.
Symmetry   Pm-3m, No. 221

=====

No. 15
Density functional theory data (PBE) for an optimized crystal structure of As2PtCSe.

```
As2PtCSe
1.0
4.804 0.000 0.000
0.000 4.804 0.000
0.000 0.000 5.239
As Pt C Se
2 1 1 1
direct
0.000 0.500 0.000
0.500 0.000 0.000
0.000 0.000 0.000
0.500 0.500 0.500
0.000 0.000 0.500
```

Properties
Uncorrected energy   -3.77 eV per atom
N(E_F)   4.21 states/eV/f.u.
Symmetry   P4/mmm, No. 123

=====

No. 16
Density functional theory data (PBE) for an optimized crystal structure of As2PtCSe.

```
As2PtCSe
1.0
4.261 0.000 0.000
0.000 4.261 0.000
0.000 0.000 4.379
As Pt C Se
2 1 1 1
direct
0.000 0.500 0.000
0.500 0.000 0.000
0.000 0.000 0.500
0.500 0.500 0.000
0.500 0.500 0.500
```

Properties
Uncorrected energy   -4.58 eV per atom
N(E_F)   2.29 states/eV/f.u.
Symmetry   P4/mmm, No. 123

=====

No. 17
Density functional theory data (PBE) for an optimized crystal structure of SrAsPt2C.

```
SrAsPt2C
1.0
5.284 0.000 0.000
0.000 5.284 0.000
0.000 0.000 4.494
Sr As Pt C
1 1 2 1
direct
0.000 0.000 0.000
0.500 0.500 0.500
0.000 0.500 0.000
0.500 0.000 0.000
0.000 0.000 0.500
```

Properties
Formation energy from the elements   2.247 eV per atom
Uncorrected energy   -3.28 eV per atom
N(E_F)   4.62 states/eV/f.u.
Symmetry   P4/mmm, No. 123

=====

No. 18
Density functional theory data (PBE) for an optimized crystal structure of TaAs2PtC.

```
TaAs2PtC
1.0
4.945 0.000 0.000
0.000 4.945 0.000
0.000 0.000 4.985
Ta As Pt C
1 2 1 1
direct
0.000 0.000 0.000
0.000 0.500 0.000
0.500 0.000 0.000
0.000 0.000 0.500
0.500 0.500 0.500
```

Properties
Formation energy from the elements   1.916 eV per atom
Uncorrected energy   -5.37 eV per atom
N(E_F)   6.25 states/eV/f.u.
Symmetry   P4/mmm, No. 123

=====

No. 19
Density functional theory data (PBE) for an optimized crystal structure of VAs2PtC.

```
VAs2PtC
1.0
5.095 0.000 0.000
0.000 5.095 0.000
0.000 0.000 3.715
V As Pt C
1 2 1 1
direct
0.000 0.000 0.000
0.000 0.500 0.500
0.500 0.000 0.500
0.500 0.500 0.500
0.500 0.500 0.000
```

Properties
Formation energy from the elements   1.172 eV per atom
Uncorrected energy   -5.56 eV per atom
N(E_F)   6.77 states/eV/f.u.
Symmetry   P4/mmm, No. 123

=====

No. 20
Density functional theory data (PBE) for an optimized crystal structure of ZrAsPt2C.

```
ZrAsPt2C
1.0
3.992 0.000 0.000
0.000 3.992 0.000
0.000 0.000 5.356
Zr As Pt C
1 1 2 1
direct
0.000 0.000 0.000
0.500 0.500 0.000
0.000 0.500 0.500
0.500 0.000 0.500
0.500 0.500 0.500
```

Properties
Formation energy from the elements   0.104 eV per atom
Uncorrected energy   -6.80 eV per atom
N(E_F)   4.96 states/eV/f.u.
Symmetry   P4/mmm, No. 123

=====

No. 21
Density functional theory data (PBE) for an optimized crystal structure of Pu2AsC.

```
Pu2AsC
1.0
4.013 0.000 0.000
-2.007 3.476 0.000
0.000 0.000 14.767
Pu As C
6 3 3
direct
0.000 0.000 0.199
0.000 0.000 0.801
0.333 0.667 0.468
0.333 0.667 0.866
0.667 0.333 0.134
0.667 0.333 0.532
0.000 0.000 0.000
0.333 0.667 0.667
0.667 0.333 0.333
0.000 0.000 0.500
0.333 0.667 0.167
0.667 0.333 0.833
```

Properties
Formation energy from the elements   0.190 eV per atom
Uncorrected energy   -10.44 eV per atom
N(E_F)   7.26 states/eV/f.u.
Symmetry   R-3m, No. 166

=====

No. 22
Density functional theory data (PBE) for an optimized crystal structure of Pu4As2C.

```
Pu4As2C
1.0
4.616 0.000 0.000
0.000 4.616 0.000
0.000 0.000 15.419
Pu As C
8 4 2
direct
0.000 0.000 0.170
0.000 0.000 0.830
0.000 0.500 0.000
0.000 0.500 0.500
0.500 0.000 0.000
0.500 0.000 0.500
0.500 0.500 0.330
0.500 0.500 0.670
0.000 0.000 0.363
0.000 0.000 0.637
0.500 0.500 0.137
0.500 0.500 0.863
0.000 0.000 0.000
0.500 0.500 0.500
```

Properties
Formation energy from the elements   -0.520 eV per atom
Uncorrected energy   -11.36 eV per atom
N(E_F)   28.66 states/eV/f.u.
Symmetry   I4/mmm, No. 139

=====

No. 23
Density functional theory data (PBE) for an optimized crystal structure of Pu2AsC.

```
Pu2AsC
1.0
4.101 0.000 0.000
0.000 13.252 0.000
0.000 0.000 5.840
Pu As C
8 4 4
direct
0.000 0.000 0.000
0.000 0.000 0.500
0.000 0.285 0.250
0.000 0.715 0.750
0.500 0.215 0.750
0.500 0.500 0.000
0.500 0.500 0.500
0.500 0.785 0.250
0.000 0.382 0.750
0.000 0.618 0.250
0.500 0.118 0.250
0.500 0.882 0.750
0.000 0.134 0.750
0.000 0.866 0.250
0.500 0.366 0.250
0.500 0.634 0.750
```

Properties
Formation energy from the elements   -0.364 eV per atom
Uncorrected energy   -11.00 eV per atom
N(E_F)   13.48 states/eV/f.u.
Symmetry   Cmcm, No. 63